1.
First-principles (PBE+U) data for Y2Mn3Sb3O14 after structural relaxation, as listed in Alexandria.

Cell lengths 7.1827, 7.1827, 7.2884 Å; angles 118.68, 118.68, 61.56 degrees
Last column: nearest neighbours and their distance in Å.
Positions (direct):
Y  0.0000  0.5000  0.0000  8 O 2.28-2.53
Y  0.5000  0.0000  0.0000  8 O 2.28-2.53
Mn  0.0000  0.0000  0.0000  2 O 2.13
Mn  0.0000  0.0000  0.5000  4 O 2.24-2.41
Mn  0.5000  0.5000  0.5000  6 O 1.98-2.16
Sb  0.0000  0.5000  0.5000  6 O 1.98-2.01
Sb  0.5000  0.0000  0.5000  6 O 1.98-2.01
Sb  0.5000  0.5000  0.0000  6 O 1.95-2.02
O  0.1175  0.1175  0.8707  2 Mn 2.13-2.24, 2 Y 2.28
O  0.1697  0.5839  0.8255  2 Sb 2.01-2.02
O  0.1717  0.1717  0.4359  2 Sb 2.01
O  0.1736  0.5690  0.4103  1 Mn 1.98, 1 Sb 1.98
O  0.4075  0.4075  0.1457  1 Sb 1.95, 1 Mn 2.16
O  0.4161  0.8303  0.1745  2 Sb 2.01-2.02
O  0.4310  0.8264  0.5897  1 Mn 1.98, 1 Sb 1.98
O  0.5690  0.1736  0.4103  1 Mn 1.98, 1 Sb 1.98
O  0.5839  0.1697  0.8255  2 Sb 2.01-2.02
O  0.5925  0.5925  0.8543  1 Sb 1.95, 1 Mn 2.16
O  0.8264  0.4310  0.5897  1 Mn 1.98, 1 Sb 1.98
O  0.8283  0.8283  0.5641  2 Sb 2.01
O  0.8303  0.4161  0.1745  2 Sb 2.01-2.02
O  0.8825  0.8825  0.1293  2 Mn 2.13-2.24, 2 Y 2.28

Properties
E   -161.768 eV per formula unit

=====

2.
First-principles (PBE+U) data for Y2MnSbO6 after structural relaxation, as listed in Alexandria.

Cell lengths 5.2654, 5.2654, 5.3544 Å; angles 90.00, 90.00, 90.00 degrees
Last column: nearest neighbours and their distance in Å.
Positions (direct):
Y  0.0000  0.5000  0.0000  4 O 2.28
Y  0.5000  0.0000  0.0000  4 O 2.28
Mn  0.0000  0.0000  0.5632  5 O 2.03-2.15
Sb  0.5000  0.5000  0.5868  5 O 2.05-2.13
O  0.0000  0.0000  0.1848  1 Mn 2.03
O  0.2531  0.2531  0.7558  1 Sb 2.05, 1 Mn 2.15, 2 Y 2.28
O  0.2531  0.7469  0.7558  1 Sb 2.05, 1 Mn 2.15, 2 Y 2.28
O  0.5000  0.5000  0.1896  1 Sb 2.13
O  0.7469  0.2531  0.7558  1 Sb 2.05, 1 Mn 2.15, 2 Y 2.28
O  0.7469  0.7469  0.7558  1 Sb 2.05, 1 Mn 2.15, 2 Y 2.28

Properties
E   -76.543 eV per formula unit
N(E_F)   2.109 states/eV/f.u.

=====

3.
First-principles (PBE+U) data for Mn2ZnSbO6 after structural relaxation, as listed in Alexandria.

Cell lengths 5.2275, 5.2944, 5.6161 Å; angles 62.73, 89.33, 61.46 degrees
Last column: nearest neighbours and their distance in Å.
Positions (direct):
Mn  0.0000  0.0000  0.0000  5 O 2.00-2.20
Mn  0.4799  0.0350  0.4485  5 O 2.12-2.29
Zn  0.2212  0.5579  0.6469  3 O 2.01-2.06
Sb  0.6884  0.6169  0.0708  6 O 1.97-2.10
O  0.0593  0.1537  0.2514  1 Sb 2.01, 2 Mn 2.01-2.13
O  0.2962  0.0880  0.8063  1 Mn 2.00, 1 Zn 2.04, 1 Sb 2.10
O  0.4219  0.5117  0.2952  1 Sb 1.97, 1 Mn 2.12
O  0.5987  0.5141  0.7904  1 Zn 2.01, 1 Sb 2.01, 1 Mn 2.20
O  0.8028  0.7983  0.2679  2 Mn 2.00-2.13, 1 Sb 2.01
O  0.9020  0.8148  0.7993  1 Mn 2.00, 1 Zn 2.06, 1 Sb 2.07

Properties
E   -65.251 eV per formula unit

=====

4.
First-principles (PBE+U) data for MnZn2SbO6 after structural relaxation, as listed in Alexandria.

Cell lengths 5.3195, 7.6702, 5.3678 Å; angles 90.00, 93.86, 90.00 degrees
Last column: nearest neighbours and their distance in Å.
Positions (direct):
Mn  0.0000  0.0000  0.0000  4 O 1.95-2.03
Mn  0.0000  0.5000  0.0000  4 O 1.95-2.03
Zn  0.0141  0.2500  0.5411  4 O 2.01-2.13
Zn  0.4473  0.7500  0.9791  4 O 2.08-2.19
Zn  0.5527  0.2500  0.0209  4 O 2.08-2.19
Zn  0.9859  0.7500  0.4589  4 O 2.01-2.13
Sb  0.5000  0.0000  0.5000  6 O 1.96-2.10
Sb  0.5000  0.5000  0.5000  6 O 1.96-2.10
O  0.0814  0.7500  0.1007  2 Zn 2.02-2.09, 2 Mn 2.03
O  0.1926  0.5709  0.6554  1 Sb 1.96, 1 Zn 2.01
O  0.1926  0.9291  0.6554  1 Sb 1.96, 1 Zn 2.01
O  0.3229  0.0632  0.1698  1 Mn 1.95, 1 Sb 2.01, 1 Zn 2.08
O  0.3229  0.4368  0.1698  1 Mn 1.95, 1 Sb 2.01, 1 Zn 2.08
O  0.4109  0.2500  0.6284  2 Sb 2.10, 2 Zn 2.13-2.19
O  0.5891  0.7500  0.3716  2 Sb 2.10, 2 Zn 2.13-2.19
O  0.6771  0.5632  0.8302  1 Mn 1.95, 1 Sb 2.01, 1 Zn 2.08
O  0.6771  0.9368  0.8302  1 Mn 1.95, 1 Sb 2.01, 1 Zn 2.08
O  0.8074  0.0709  0.3446  1 Sb 1.96, 1 Zn 2.01
O  0.8074  0.4291  0.3446  1 Sb 1.96, 1 Zn 2.01
O  0.9186  0.2500  0.8993  2 Zn 2.02-2.09, 2 Mn 2.03

Properties
E   -57.810 eV per formula unit

=====

5.
First-principles (PBE+U) data for MnZn2SbO6 after structural relaxation, as listed in Alexandria.

Cell lengths 5.1545, 5.2765, 5.4273 Å; angles 63.07, 89.87, 62.04 degrees
Last column: nearest neighbours and their distance in Å.
Positions (direct):
Mn  0.0000  0.0000  0.0000  4 O 1.94-2.03
Zn  0.2153  0.5606  0.6490  4 O 2.00-2.24
Zn  0.7325  0.5399  0.1589  4 O 2.00-2.21
Sb  0.5027  0.9939  0.5082  6 O 1.98-2.06
O  0.1225  0.0993  0.2782  1 Mn 2.00, 1 Sb 2.02, 1 Zn 2.03
O  0.2618  0.1174  0.7762  1 Mn 1.94, 1 Zn 2.00, 1 Sb 2.04
O  0.4085  0.4593  0.3104  1 Sb 1.98, 1 Zn 2.00
O  0.5987  0.5279  0.7803  2 Zn 2.00-2.21, 1 Sb 2.01
O  0.7799  0.8313  0.2807  1 Sb 2.03, 1 Mn 2.03, 1 Zn 2.03
O  0.8893  0.8300  0.7893  1 Mn 1.96, 1 Zn 2.04, 1 Sb 2.06

Properties
E   -58.241 eV per formula unit

=====

6.
First-principles (PBE+U) data for Zr2MnSbO8 after structural relaxation, as listed in Alexandria.

Cell lengths 4.7978, 4.7978, 6.3755 Å; angles 90.00, 90.00, 90.75 degrees
Last column: nearest neighbours and their distance in Å.
Positions (direct):
Zr  0.0000  0.0000  0.2430  6 O 2.08-2.14
Zr  0.0000  0.0000  0.7570  6 O 2.08-2.14
Mn  0.5000  0.5000  0.0000  6 O 1.98-2.05
Sb  0.5000  0.5000  0.5000  6 O 2.02-2.03
O  0.2007  0.2007  0.5000  1 Sb 2.02, 2 Zr 2.12
O  0.2055  0.2055  0.0000  1 Mn 1.98, 2 Zr 2.08
O  0.3138  0.6862  0.2526  1 Sb 2.03, 1 Mn 2.05, 1 Zr 2.14
O  0.3138  0.6862  0.7474  1 Sb 2.03, 1 Mn 2.05, 1 Zr 2.14
O  0.6862  0.3138  0.2526  1 Sb 2.03, 1 Mn 2.05, 1 Zr 2.14
O  0.6862  0.3138  0.7474  1 Sb 2.03, 1 Mn 2.05, 1 Zr 2.14
O  0.7945  0.7945  0.0000  1 Mn 1.98, 2 Zr 2.08
O  0.7993  0.7993  0.5000  1 Sb 2.02, 2 Zr 2.12

Properties
E   -95.732 eV per formula unit

=====

7.
First-principles (PBE+U) data for Sc6MnO12 after structural relaxation, as listed in Alexandria.

Cell lengths 6.0654, 6.0654, 6.0654 Å; angles 98.89, 98.89, 98.89 degrees
Last column: nearest neighbours and their distance in Å.
Positions (direct):
Sc  0.1102  0.6359  0.7943  6 O 2.07-2.25
Sc  0.2057  0.8898  0.3641  6 O 2.07-2.25
Sc  0.3641  0.2057  0.8898  6 O 2.07-2.25
Sc  0.6359  0.7943  0.1102  6 O 2.07-2.25
Sc  0.7943  0.1102  0.6359  6 O 2.07-2.25
Sc  0.8898  0.3641  0.2057  6 O 2.07-2.25
Mn  0.5000  0.5000  0.5000  6 O 1.94
O  0.0646  0.3208  0.9196  4 Sc 2.07-2.25
O  0.0804  0.9354  0.6792  4 Sc 2.07-2.25
O  0.1905  0.5492  0.4293  1 Mn 1.94, 2 Sc 2.14-2.15
O  0.3208  0.9196  0.0646  4 Sc 2.07-2.25
O  0.4293  0.1905  0.5492  1 Mn 1.94, 2 Sc 2.14-2.15
O  0.4508  0.5707  0.8095  1 Mn 1.94, 2 Sc 2.14-2.15
O  0.5492  0.4293  0.1905  1 Mn 1.94, 2 Sc 2.14-2.15
O  0.5707  0.8095  0.4508  1 Mn 1.94, 2 Sc 2.14-2.15
O  0.6792  0.0804  0.9354  4 Sc 2.07-2.25
O  0.8095  0.4508  0.5707  1 Mn 1.94, 2 Sc 2.14-2.15
O  0.9196  0.0646  0.3208  4 Sc 2.07-2.25
O  0.9354  0.6792  0.0804  4 Sc 2.07-2.25

Properties
E   -160.149 eV per formula unit
N(E_F)   9.736 states/eV/f.u.

=====

8.
First-principles (PBE+U) data for Sc2MnO after structural relaxation, as listed in Alexandria.

Cell lengths 8.6699, 8.6699, 8.6699 Å; angles 22.95, 22.95, 22.95 degrees
Last column: nearest neighbours and their distance in Å.
Positions (direct):
Sc  0.0740  0.0740  0.0740  1 O 1.87
Sc  0.9260  0.9260  0.9260  1 O 1.87
Mn  0.5000  0.5000  0.5000  6 Sc 3.08
O  0.0000  0.0000  0.0000  2 Sc 1.87

Properties
E   -28.525 eV per formula unit
N(E_F)   2.017 states/eV/f.u.

=====

9.
First-principles (PBE+U) data for ScMnO2 after structural relaxation, as listed in Alexandria.

Cell lengths 6.1868, 6.1868, 6.1868 Å; angles 30.22, 30.22, 30.22 degrees
Last column: nearest neighbours and their distance in Å.
Positions (direct):
Sc  0.0000  0.0000  0.0000  6 O 2.12
Mn  0.5000  0.5000  0.5000  2 O 1.93
O  0.3909  0.3909  0.3909  1 Mn 1.93, 3 Sc 2.12
O  0.6091  0.6091  0.6091  1 Mn 1.93, 3 Sc 2.12

Properties
E   -33.338 eV per formula unit
N(E_F)   0.039 states/eV/f.u.

=====

10.
First-principles (PBE+U) data for ScMnO2 after structural relaxation, as listed in Alexandria.

Cell lengths 3.8877, 3.8877, 3.8877 Å; angles 60.00, 60.00, 60.00 degrees
Last column: nearest neighbours and their distance in Å.
Positions (direct):
Sc  0.0000  0.0000  0.0000  8 O 2.38
Mn  0.5000  0.5000  0.5000  8 O 2.38
O  0.2500  0.2500  0.2500  4 Mn 2.38, 4 Sc 2.38
O  0.7500  0.7500  0.7500  4 Mn 2.38, 4 Sc 2.38

Properties
E   -30.660 eV per formula unit
N(E_F)   2.038 states/eV/f.u.

=====

11.
First-principles (PBE+U) data for Sc2MnO after structural relaxation, as listed in Alexandria.

Cell lengths 6.0103, 6.0103, 6.0103 Å; angles 115.99, 115.99, 97.09 degrees
Last column: nearest neighbours and their distance in Å.
Positions (direct):
Sc  0.3750  0.0022  0.1272  2 O 2.03
Sc  0.7522  0.6250  0.6272  2 O 2.03
Sc  0.8750  0.2478  0.8728  2 O 2.03
Sc  0.9978  0.1250  0.3728  2 O 2.03
Mn  0.2500  0.7500  0.5000  4 Sc 3.05
Mn  0.5000  0.5000  0.0000  4 Sc 3.05
O  0.0000  0.0000  0.0000  4 Sc 2.03
O  0.7500  0.2500  0.5000  4 Sc 2.03

Properties
E   -29.597 eV per formula unit
N(E_F)   2.837 states/eV/f.u.

=====

12.
First-principles (PBE+U) data for Sc2MnO after structural relaxation, as listed in Alexandria.

Cell lengths 8.4643, 8.4643, 8.4643 Å; angles 21.37, 21.37, 21.37 degrees
Last column: nearest neighbours and their distance in Å.
Positions (direct):
Sc  0.1161  0.1161  0.1161  3 O 2.20
Sc  0.8839  0.8839  0.8839  3 O 2.20
Mn  0.0000  0.0000  0.0000  2 Sc 2.88, 6 Mn 3.14
O  0.5000  0.5000  0.5000  6 Sc 2.20

Properties
E   -29.350 eV per formula unit
N(E_F)   1.477 states/eV/f.u.

=====

Question: Among the records above, which one has the lowest E?
Answer: Y2Mn3Sb3O14

=====

Question: The lowest E belongs to which entry?
Answer: Y2Mn3Sb3O14

=====

Question: The lowest E belongs to which entry?
Answer: Y2Mn3Sb3O14